No. 1
{"formula": "Nd2Te3Au", "functional": "GGA-PBE", "state": "relaxed", "lattice": [[11.212, 0.000, 0.000], [0.000, 4.230, 0.000], [0.000, 0.000, 14.993]], "species": ["Nd", "Nd", "Nd", "Nd", "Nd", "Nd", "Nd", "Nd", "Te", "Te", "Te", "Te", "Te", "Te", "Te", "Te", "Te", "Te", "Te", "Te", "Au", "Au", "Au", "Au"], "frac_coords": [[0.016, 0.250, 0.250], [0.236, 0.750, 0.524], [0.264, 0.250, 0.024], [0.484, 0.750, 0.750], [0.516, 0.250, 0.250], [0.736, 0.750, 0.976], [0.764, 0.250, 0.476], [0.984, 0.750, 0.750], [0.045, 0.250, 0.598], [0.070, 0.750, 0.094], [0.235, 0.750, 0.856], [0.265, 0.250, 0.356], [0.430, 0.250, 0.594], [0.455, 0.750, 0.098], [0.545, 0.250, 0.902], [0.570, 0.750, 0.406], [0.735, 0.750, 0.644], [0.765, 0.250, 0.144], [0.930, 0.250, 0.906], [0.955, 0.750, 0.402], [0.243, 0.250, 0.720], [0.257, 0.750, 0.220], [0.743, 0.250, 0.780], [0.757, 0.750, 0.280]], "relative_energy_ev_per_atom": 0.032, "spacegroup": "Pnma"}



No. 2
{"formula": "NdTlTe3Au", "functional": "GGA-PBE", "state": "relaxed", "lattice": [[2.130, -7.905, 0.000], [2.130, 7.905, 0.000], [0.000, 0.000, 11.454]], "species": ["Nd", "Nd", "Tl", "Tl", "Te", "Te", "Te", "Te", "Te", "Te", "Au", "Au"], "frac_coords": [[0.000, 0.000, 0.000], [0.000, 0.000, 0.500], [0.239, 0.761, 0.750], [0.761, 0.239, 0.250], [0.085, 0.915, 0.250], [0.358, 0.642, 0.061], [0.358, 0.642, 0.439], [0.642, 0.358, 0.561], [0.642, 0.358, 0.939], [0.915, 0.085, 0.750], [0.470, 0.530, 0.250], [0.530, 0.470, 0.750]], "dft_energy_ev_per_atom": -4.005, "spacegroup": "Cmcm"}